First-principles (PBE) data for SrEr4Ag5 after structural relaxation, as listed in the Alexandria database.

a = 3.632 Å, b = 3.632 Å, c = 18.621 Å
α = 90.00°, β = 90.00°, γ = 90.00°
Fractional positions:
Sr 0.000 0.000 0.000
Er 0.000 0.000 0.209
Er 0.000 0.000 0.403
Er 0.000 0.000 0.597
Er 0.000 0.000 0.791
Ag 0.500 0.500 0.120
Ag 0.500 0.500 0.306
Ag 0.500 0.500 0.500
Ag 0.500 0.500 0.694
Ag 0.500 0.500 0.880

ΔH_f (0 K): -0.3112 eV/atom
SG: P4/mmm